# 1
The following is a DFT calculation (PBE) of a relaxed Hf4W2S3N3 crystal.

Results
The final energy comes out at -229.92 eV/cell.

Cell: 5.696 5.696 12.257 Å, 102.25 102.25 60.18°
Sites, in units of the cell vectors:
Hf 0.010 0.223 0.099
Hf 0.158 0.298 0.401
Hf 0.223 0.010 0.599
Hf 0.298 0.158 0.901
Hf 0.702 0.842 0.099
Hf 0.777 0.990 0.401
Hf 0.842 0.702 0.599
Hf 0.990 0.777 0.901
W 0.419 0.529 0.099
W 0.471 0.581 0.401
W 0.529 0.419 0.599
W 0.581 0.471 0.901
S 0.106 0.894 0.250
S 0.255 0.420 0.741
S 0.420 0.255 0.241
S 0.580 0.745 0.759
S 0.745 0.580 0.259
S 0.894 0.106 0.750
N 0.000 0.500 0.000
N 0.142 0.679 0.499
N 0.321 0.858 0.001
N 0.500 0.000 0.500
N 0.679 0.142 0.999
N 0.858 0.321 0.501

***

# 2
The following is a DFT calculation (PBE) of a relaxed LiDy3In crystal.

Results
The final energy comes out at -35.57 eV/cell.

Cell: 7.401 7.401 6.182 Å, 90.00 90.00 120.00°
Sites, in units of the cell vectors:
Li 0.000 0.000 0.000
Li 0.000 0.000 0.500
Dy 0.390 0.064 0.250
Dy 0.390 0.326 0.750
Dy 0.674 0.064 0.750
Dy 0.674 0.610 0.250
Dy 0.936 0.326 0.250
Dy 0.936 0.610 0.750
In 0.333 0.667 0.000
In 0.333 0.667 0.500